Below is a geometry-optimized Y2WCl structure, with properties calculated at the PBE level.

The space group is Pm (No. 6) and the conventional cell measures 3.205, 5.429 and 5.430 Å, with angles of 90.00, 90.07 and 90.00 degrees. The inequivalent atoms are Y at (0.000, 0.000, 0.000), Y at (0.001, 0.500, 0.505), W at (0.500, 0.500, 0.999) and Cl at (0.000, 0.000, 0.499).

The value obtained for the formation energy (no corrections) is -0.128 eV/atom. The total energy is -7.060 eV/atom. The crystal system is monoclinic. As for the energy above the most stable polymorph in this dataset: 0.2512 eV/atom.